Below is an optimized crystal structure of Sm2TiGe4Ir3, with properties calculated at the GGA-PBE level. Values from VASP.

```
&SYSTEM
  ibrav = 0, nat = 10, ntyp = 4
/
ATOMIC_SPECIES
Sm 150.36 Sm.upf
Ti 47.87 Ti.upf
Ge 72.64 Ge.upf
Ir 192.22 Ir.upf
CELL_PARAMETERS angstrom
4.1844 0.0000 0.0000
0.0000 4.1844 0.0000
0.0000 0.0000 10.7616
ATOMIC_POSITIONS crystal
Sm 0.5000 0.0000 0.2456
Sm 0.0000 0.5000 0.7544
Ti 0.5000 0.5000 0.5000
Ge 0.5000 0.5000 0.0000
Ge 0.0000 0.0000 0.0000
Ge 0.5000 0.0000 0.6439
Ge 0.0000 0.5000 0.3561
Ir 0.0000 0.0000 0.5000
Ir 0.5000 0.0000 0.8743
Ir 0.0000 0.5000 0.1257
```

calculated formation energy: -7.4 eV/f.u.
symmetry: P-4m2, No. 115


Below is an optimized crystal structure of HfSeBr2N, with properties calculated at the GGA-PBE level. Values from VASP.

```
&SYSTEM
  ibrav = 0, nat = 5, ntyp = 4
/
ATOMIC_SPECIES
Hf 178.49 Hf.upf
Se 78.96 Se.upf
Br 79.90 Br.upf
N 14.01 N.upf
CELL_PARAMETERS angstrom
4.5691 0.0000 0.0000
0.0000 4.5691 0.0000
0.0000 0.0000 4.5262
ATOMIC_POSITIONS crystal
Hf 0.5000 0.5000 0.5000
Se 0.0000 0.0000 0.5000
Br 0.0000 0.5000 0.0000
Br 0.5000 0.0000 0.0000
N 0.0000 0.0000 0.0000
```

uncorrected formation energy: 4.4 eV/f.u.
symmetry: P4/mmm, No. 123
distance to the lowest polymorph of the same formula: 682 meV/atom


Below is an optimized crystal structure of PaPd8Au4, with properties calculated at the GGA-PBE level. Values from VASP.

```
&SYSTEM
  ibrav = 0, nat = 13, ntyp = 3
/
ATOMIC_SPECIES
Pa 231.04 Pa.upf
Pd 106.42 Pd.upf
Au 196.97 Au.upf
CELL_PARAMETERS angstrom
-7.4049 4.9030 -0.5561
0.6094 -6.4483 6.2488
6.1349 1.2770 0.6685
ATOMIC_POSITIONS crystal
Pa 0.0000 0.5000 0.5000
Pd 0.5068 0.7548 0.2595
Pd 0.4932 0.2452 0.7405
Pd 0.4938 0.2477 0.2466
Pd 0.9991 0.2457 0.7524
Pd 0.5062 0.7523 0.7534
Pd 0.0000 0.7524 0.7543
Pd 0.0000 0.2476 0.2457
Pd 0.0009 0.7543 0.2476
Au 0.0000 0.0000 0.0000
Au 0.0000 0.5000 0.0000
Au 0.5000 0.5000 0.0000
Au 0.5000 0.0000 0.0000
```

calculated formation energy: -1.3 eV/f.u.
symmetry: C2/m, No. 12


Below is an optimized crystal structure of KHW2, with properties calculated at the GGA-PBE level. Values from VASP.

```
&SYSTEM
  ibrav = 0, nat = 4, ntyp = 3
/
ATOMIC_SPECIES
H 1.01 H.upf
K 39.10 K.upf
W 183.84 W.upf
CELL_PARAMETERS angstrom
0.0000 3.1617 3.1617
3.1617 0.0000 3.1617
3.1617 3.1617 0.0000
ATOMIC_POSITIONS crystal
H 0.0000 0.0000 0.0000
K 0.5000 0.5000 0.5000
W 0.2500 0.2500 0.2500
W 0.7500 0.7500 0.7500
```

symmetry: Fm-3m, No. 225
distance to the lowest polymorph of the same formula: 1763 meV/atom